1.
A relaxed structure of Al4Ni15Pd, computed with PBE-GGA.

## Properties
As for the formation enthalpy at 0 K: -0.329 eV per atom. The value obtained for the volume is 229.52 Å³ per cell. The value obtained for the total energy is -5.6735 eV per atom. The value obtained for the total magnetization is 0.21 μB/atom. For the density of states at the Fermi level, the calculation gives 1.173 states/eV/atom.

Cell and atoms, written as CIF:
```
data_Al4Ni15Pd
_chemical_formula_sum 'Al4 Ni15 Pd1'
_cell_length_a 3.582
_cell_length_b 3.582
_cell_length_c 17.891
_cell_angle_alpha 90.00
_cell_angle_beta 90.00
_cell_angle_gamma 90.00
_symmetry_space_group_name_H-M 'P 4/m m m'
_symmetry_Int_Tables_number 123
_symmetry_space_group_name_Hall '-P 4 2'
loop_
_atom_site_label
_atom_site_fract_x
_atom_site_fract_y
_atom_site_fract_z
Al1 0.000 0.000 0.099
Al2 0.000 0.000 0.296
Ni1 0.000 0.500 0.000
Ni2 0.000 0.500 0.198
Ni3 0.000 0.500 0.396
Ni4 0.500 0.500 0.100
Ni5 0.500 0.500 0.298
Ni6 0.500 0.500 0.500
Pd1 0.000 0.000 0.500
```

---

2.
A relaxed structure of CoAg2Ru, computed with PBE-GGA.

## Properties
As for the formation enthalpy at 0 K: 0.990 eV per atom. The value obtained for the volume is 271.88 Å³ per cell. The value obtained for the total energy is -4.5307 eV per atom. The value obtained for the total magnetization is 0.97 μB/atom. The energy relative to the lowest polymorph listed for this composition is 668.9 meV/atom. For the density of states at the Fermi level, the calculation gives 1.280 states/eV/atom.

Cell and atoms, written as CIF:
```
data_CoAg2Ru
_chemical_formula_sum 'Co4 Ag8 Ru4'
_cell_length_a 7.244
_cell_length_b 7.244
_cell_length_c 5.182
_cell_angle_alpha 90.00
_cell_angle_beta 90.00
_cell_angle_gamma 90.00
_symmetry_space_group_name_H-M 'I -4 2 d'
_symmetry_Int_Tables_number 122
_symmetry_space_group_name_Hall 'I -4 2bw'
loop_
_atom_site_label
_atom_site_fract_x
_atom_site_fract_y
_atom_site_fract_z
Co1 0.000 0.000 0.000
Ag1 0.228 0.250 0.125
Ru1 0.000 0.000 0.500
```